1.
Compound: LiHg2Cl
Source: Alexandria
Functional: PBE
Structure: optimized geometry

The structure in POSCAR format:
```
LiHg2Cl
1.0
3.954 -0.054 -0.017
2.087 3.359 -0.017
1.971 1.079 9.600
Hg Cl Li
2 1 1
direct
0.007 0.007 0.008
0.772 0.772 0.732
0.197 0.197 0.375
0.524 0.524 0.385
```

Values from the calculation:
- raw total energy (eV/atom) = -1.92
- E_form (uncorrected) (eV per formula unit) = -3.3
- energy above the lowest structure with this stoichiometry (kJ per mole of atoms) = 0.00

2.
Compound: Li3InHg5
Source: Alexandria
Functional: PBE
Structure: optimized geometry

The structure in POSCAR format:
```
Li3InHg5
1.0
-5.382 2.679 -0.061
-2.180 -4.537 -6.897
-1.610 -3.059 7.807
Li Hg In
6 10 2
direct
0.250 0.353 0.000
0.750 0.353 0.353
0.250 0.647 0.647
0.750 0.000 0.647
0.250 0.000 0.353
0.750 0.647 0.000
0.000 0.667 0.333
0.000 0.333 0.667
0.250 0.679 0.000
0.750 0.679 0.679
0.500 0.333 0.667
0.250 0.321 0.321
0.250 0.000 0.679
0.500 0.667 0.333
0.750 0.321 0.000
0.750 0.000 0.321
0.000 0.000 0.000
0.500 0.000 0.000
```

Values from the calculation:
- raw total energy (eV/atom) = -1.35
- DFT formation energy (meV per atom) = -235

3.
Compound: ErTm4Sb5
Source: Alexandria
Functional: PBE
Structure: optimized geometry

The structure in POSCAR format:
```
ErTm4Sb5
1.0
4.339 0.000 0.000
0.000 4.339 0.000
-2.170 -2.170 15.342
Sb Er Tm
5 1 4
direct
0.100 0.100 0.201
0.700 0.700 0.400
0.500 0.500 0.000
0.300 0.300 0.600
0.900 0.900 0.799
0.000 0.000 0.000
0.800 0.800 0.600
0.400 0.400 0.800
0.600 0.600 0.200
0.200 0.200 0.400
```

Values from the calculation:
- raw total energy (eV/atom) = -5.38
- E_form (uncorrected) (eV per formula unit) = -10.7

4.
Compound: MgReIr
Source: Alexandria
Functional: PBE
Structure: optimized geometry

The structure in POSCAR format:
```
MgReIr
1.0
-2.152 -0.709 4.276
1.301 -3.706 2.828
1.436 3.998 -2.318
Ir Mg Re
1 1 1
direct
0.009 0.009 0.000
0.335 0.335 0.000
0.656 0.656 0.000
```

Values from the calculation:
- raw total energy (eV/atom) = -7.57
- energy above the lowest structure with this stoichiometry (kJ per mole of atoms) = 22.81
- DFT formation energy (meV per atom) = 63